No. 1
A geometry-optimized Dy4Hg5Au2 structure. Source: the Alexandria database, functional PBE.

Output
E (eV per atom): -2.9376
Space group: P2/m, No. 10

a = 7.7487 Å, b = 3.5616 Å, c = 9.8689 Å
α = 90.00°, β = 95.29°, γ = 90.00°
Closest atoms and distances in Å follow each position.
Element x y z (fractional)
Dy 0.1796 0.0000 0.3693  2 Au 2.96, 6 Hg 3.23-3.26
Dy 0.2399 0.0000 0.9358  4 Au 3.04-3.05, 6 Hg 3.22-3.38
Dy 0.7601 0.0000 0.0642  4 Au 3.04-3.05, 6 Hg 3.22-3.38
Dy 0.8204 0.0000 0.6307  2 Au 2.96, 6 Hg 3.23-3.26
Hg 0.1697 0.5000 0.6449  1 Au 2.99, 2 Hg 3.04-3.21, 4 Dy 3.23-3.26
Hg 0.4605 0.5000 0.1804  1 Au 2.98, 2 Hg 3.14-3.21, 2 Dy 3.22
Hg 0.5000 0.5000 0.5000  4 Hg 3.04-3.14, 4 Dy 3.23
Hg 0.5395 0.5000 0.8196  1 Au 2.98, 2 Hg 3.14-3.21, 2 Dy 3.22
Hg 0.8303 0.5000 0.3551  1 Au 2.99, 2 Hg 3.04-3.21, 4 Dy 3.23-3.26
Au 0.0745 0.5000 0.1373  1 Au 2.85, 6 Dy 2.96-3.05, 2 Hg 2.98-2.99
Au 0.9255 0.5000 0.8627  1 Au 2.85, 6 Dy 2.96-3.05, 2 Hg 2.98-2.99

No. 2
A geometry-optimized DyHgAu structure. Source: the Alexandria database, functional PBE.

Output
E (eV per atom): -3.3828
Space group: P6_3/mmc, No. 194

a = 5.1132 Å, b = 5.1132 Å, c = 6.0914 Å
α = 90.00°, β = 90.00°, γ = 120.00°
Closest atoms and distances in Å follow each position.
Element x y z (fractional)
Dy 0.3333 0.6667 0.2500  5 Au 2.95-3.05
Dy 0.6667 0.3333 0.7500  5 Au 2.95-3.05
Hg 0.0000 0.0000 0.0000  2 Hg 3.05, 6 Dy 3.32, 6 Au 3.32
Hg 0.0000 0.0000 0.5000  2 Hg 3.05, 6 Dy 3.32, 6 Au 3.32
Au 0.3333 0.6667 0.7500  5 Dy 2.95-3.05
Au 0.6667 0.3333 0.2500  5 Dy 2.95-3.05

Number 1: energy of formation from the pure elements -0.53 eV per atom. Number 2: energy of formation from the pure elements -0.66 eV per atom.